# 1
## Y4GaSe2 (PBE)

Data for Y4GaSe2 after structural relaxation.

a = 15.1181 Å, b = 3.9937 Å, c = 6.9486 Å
α = 90.00°, β = 117.12°, γ = 90.00°
Sites, in units of the cell vectors:
Y: 0.1165 0.0000 0.2703
Y: 0.1239 0.5000 0.8039
Y: 0.3761 0.0000 0.1961
Y: 0.3835 0.5000 0.7297
Y: 0.6165 0.5000 0.2703
Y: 0.6239 0.0000 0.8039
Y: 0.8761 0.5000 0.1961
Y: 0.8835 0.0000 0.7297
Ga: 0.0000 0.0000 0.5000
Ga: 0.5000 0.5000 0.5000
Se: 0.2503 0.0000 0.7403
Se: 0.2497 0.5000 0.2597
Se: 0.7497 0.0000 0.2597
Se: 0.7503 0.5000 0.7403

Properties
Formation energy from raw total energies: -757 kJ/mol of formula units
Total magnetic moment: 0.00 μB/cell


# 2
## Cs2RuBr6Cl (PBE)

Data for Cs2RuBr6Cl after structural relaxation.

a = 8.1083 Å, b = 8.1083 Å, c = 8.1083 Å
α = 121.11°, β = 121.11°, γ = 88.08°
Sites, in units of the cell vectors:
Cs: 0.2500 0.7500 0.5000
Cs: 0.7500 0.2500 0.5000
Ru: 0.0000 0.0000 0.0000
Br: 0.2153 0.2153 0.0000
Br: 0.2233 0.2233 0.4466
Br: 0.2233 0.7767 0.0000
Br: 0.7767 0.2233 0.0000
Br: 0.7767 0.7767 0.5534
Br: 0.7847 0.7847 0.0000
Cl: 0.5000 0.5000 0.0000

Properties
Formation energy from raw total energies: -786 kJ/mol of formula units
Total magnetic moment: 3.00 μB/cell


Q: Which formula does entry 2 have?
A: Cs2RuBr6Cl


Q: Number 1 is which compound?
A: Y4GaSe2